# 1
SrLa2Cu: relaxed, GGA-PBE.

Lattice parameters (Å, degrees): 3.8978 5.6029 5.9082 90.00 90.00 90.00
Element x y z (fractional)
Sr1 0.0000 0.0000 0.0000
La1 0.0000 0.5000 0.5000
La2 0.5000 0.0000 0.5000
Cu1 0.5000 0.5000 0.0000

**Electronic total energy**: -3.66 eV per atom
**Formation energy from the elements**: 248 meV per atom

***

# 2
SrYCrSe2: relaxed, GGA-PBE.

Lattice parameters (Å, degrees): 5.4190 5.4190 6.7521 90.00 90.00 90.00
Element x y z (fractional)
Sr1 0.0000 0.0000 0.0000
Y1 0.0000 0.0000 0.5000
Cr1 0.5000 0.5000 0.0000
Se1 0.0000 0.5000 0.5000
Se2 0.5000 0.0000 0.5000

**Electronic total energy**: -4.83 eV per atom
**E_form (uncorrected)**: 0.12 eV/atom

***

# 3
Tb4SbN: relaxed, GGA-PBE.

Lattice parameters (Å, degrees): 7.9099 7.9099 7.1492 105.68 105.68 43.97
Element x y z (fractional)
Tb1 0.0281 0.1759 0.4398
Tb2 0.1759 0.0281 0.9398
Tb3 0.2523 0.3634 0.8199
Tb4 0.3634 0.2523 0.3199
Tb5 0.6366 0.7477 0.6801
Tb6 0.7477 0.6366 0.1801
Tb7 0.8241 0.9719 0.0602
Tb8 0.9719 0.8241 0.5602
Sb1 0.3892 0.6108 0.2500
Sb2 0.6108 0.3892 0.7500
N1 0.0000 0.5000 0.5000
N2 0.5000 0.0000 0.0000

**Electronic total energy**: -5.97 eV per atom
**E_form (uncorrected)**: -0.81 eV/atom

***

# 4
Tb2Tm2Ru3: relaxed, GGA-PBE.

Lattice parameters (Å, degrees): 4.8757 4.8823 7.9465 107.57 90.06 119.93
Element x y z (fractional)
Tb1 0.1224 0.2449 0.3667
Tb2 0.8776 0.7551 0.6333
Tm1 0.3739 0.7476 0.1204
Tm2 0.6261 0.2524 0.8796
Ru1 0.2492 0.4981 0.7478
Ru2 0.5000 0.0000 0.5000
Ru3 0.7508 0.5019 0.2522

**Electronic total energy**: -6.87 eV per atom
**Formation energy from the elements**: -293 meV per atom

***

# 5
YErAlPt: relaxed, GGA-PBE.

Lattice parameters (Å, degrees): 7.0877 7.0877 7.0877 90.00 90.00 90.00
Element x y z (fractional)
Y1 0.0000 0.0000 0.0000
Y2 0.0000 0.5000 0.5000
Y3 0.5000 0.0000 0.5000
Y4 0.5000 0.5000 0.0000
Er1 0.0000 0.0000 0.5000
Er2 0.0000 0.5000 0.0000
Er3 0.5000 0.0000 0.0000
Er4 0.5000 0.5000 0.5000
Al1 0.2500 0.2500 0.2500
Al2 0.2500 0.7500 0.7500
Al3 0.7500 0.2500 0.7500
Al4 0.7500 0.7500 0.2500
Pt1 0.2500 0.2500 0.7500
Pt2 0.2500 0.7500 0.2500
Pt3 0.7500 0.2500 0.2500
Pt4 0.7500 0.7500 0.7500

**Electronic total energy**: -5.96 eV per atom
**Formation energy from the elements**: -753 meV per atom

***

# 6
Re3OsRu: relaxed, GGA-PBE.

Lattice parameters (Å, degrees): 9.9243 9.9243 5.4761 97.87 97.87 15.90
Element x y z (fractional)
Re1 0.9999 0.9999 0.2462
Re2 0.0001 0.0001 0.7538
Re3 0.1981 0.1981 0.8453
Re4 0.1986 0.1986 0.3516
Re5 0.8014 0.8014 0.6484
Re6 0.8019 0.8019 0.1547
Os1 0.4002 0.4002 0.9502
Os2 0.5998 0.5998 0.0498
Ru1 0.3997 0.3997 0.4501
Ru2 0.6003 0.6003 0.5499

**Electronic total energy**: -11.53 eV per atom
**Formation energy from the elements**: 39 meV per atom